Entry 1:
Material: CdTeIr
Method: DFT, meta-GGA SCAN
State: single point on PBEsol structure

Results
Final energy in eV for the cell shown: -137.033
Energy relative to the elements, uncorrected in meV/atom: 577
Spin magnetization in μB/atom: 0.000
Crystal system: cubic

```
CdTeIr
1.0
0.000 3.204 3.204
3.204 0.000 3.204
3.204 3.204 0.000
Cd Te Ir
1 1 1
direct
0.000 0.000 0.000
0.250 0.250 0.250
0.500 0.500 0.500
```


Entry 2:
Material: Na2CuAs2
Method: DFT, meta-GGA SCAN
State: single point on PBEsol structure

Results
Final energy in eV for the cell shown: -131.541
Energy of formation from the pure elements in meV/atom: -352
Spin magnetization in μB/atom: 0.000
Crystal system: tetragonal

```
Na2CuAs2
1.0
6.358 0.000 0.000
0.000 6.358 0.000
0.000 0.000 4.796
Na Cu As
4 2 4
direct
0.170 0.330 0.000
0.330 0.830 0.000
0.670 0.170 0.000
0.830 0.670 0.000
0.000 0.000 0.500
0.500 0.500 0.500
0.142 0.642 0.500
0.358 0.142 0.500
0.642 0.858 0.500
0.858 0.358 0.500
```


Entry 3:
Material: Sr2CaMg
Method: DFT, meta-GGA SCAN
State: single point on PBEsol structure

Results
Final energy in eV for the cell shown: -58.943
Energy of formation from the pure elements in meV/atom: 61
Spin magnetization in μB/atom: 0.066
Crystal system: monoclinic

```
Sr2CaMg
1.0
3.958 0.000 0.000
0.000 5.910 0.000
-1.986 0.000 7.140
Sr Ca Mg
2 1 1
direct
0.000 0.000 0.000
0.338 0.500 0.676
0.609 0.500 0.218
0.732 0.000 0.469
```


Entry 4:
Material: TaAg2Se
Method: DFT, meta-GGA SCAN
State: single point on PBEsol structure

Results
Final energy in eV for the cell shown: -147.879
Energy relative to the elements, uncorrected in meV/atom: 379
Spin magnetization in μB/atom: 0.000
Crystal system: monoclinic

```
TaAg2Se
1.0
2.874 0.000 0.000
0.000 4.783 0.000
-1.187 0.000 5.051
Ta Ag Se
1 2 1
direct
0.000 0.000 0.000
0.348 0.500 0.745
0.652 0.500 0.255
0.000 0.000 0.500
```


Entry 5:
Material: Zr4Ni3As8
Method: DFT, meta-GGA SCAN
State: single point on PBEsol structure

Results
Final energy in eV for the cell shown: -345.884
Energy of formation from the pure elements in meV/atom: -870
Spin magnetization in μB/atom: 0.000
Crystal system: tetragonal

```
Zr4Ni3As8
1.0
3.787 0.000 0.000
0.000 3.787 0.000
0.000 0.000 17.403
Zr Ni As
4 3 8
direct
0.000 0.500 0.123
0.000 0.500 0.633
0.500 0.000 0.367
0.500 0.000 0.877
0.000 0.000 0.500
0.500 0.500 0.000
0.500 0.500 0.500
0.000 0.000 0.245
0.000 0.000 0.755
0.000 0.500 0.419
0.000 0.500 0.929
0.500 0.000 0.071
0.500 0.000 0.581
0.500 0.500 0.245
0.500 0.500 0.755
```


Entry 6:
Material: BaLi2Zn
Method: DFT, meta-GGA SCAN
State: single point on PBEsol structure

Results
Final energy in eV for the cell shown: -57.982
Energy of formation from the pure elements in meV/atom: -34
Spin magnetization in μB/atom: 0.010
Crystal system: tetragonal

```
BaLi2Zn
1.0
3.736 0.000 0.000
0.000 3.736 0.000
0.000 0.000 7.574
Ba Li Zn
1 2 1
direct
0.000 0.000 0.000
0.000 0.000 0.557
0.500 0.500 0.367
0.500 0.500 0.722
```


Entry 7:
Material: LaInRu
Method: DFT, meta-GGA SCAN
State: single point on PBEsol structure

Results
Final energy in eV for the cell shown: -112.016
Energy of formation from the pure elements in meV/atom: -233
Spin magnetization in μB/atom: 0.000
Crystal system: cubic

```
LaInRu
1.0
0.000 3.323 3.323
3.323 0.000 3.323
3.323 3.323 0.000
La In Ru
1 1 1
direct
0.000 0.000 0.000
0.500 0.500 0.500
0.750 0.750 0.750
```


Entry 8:
Material: CoAgRu2
Method: DFT, meta-GGA SCAN
State: single point on PBEsol structure

Results
Final energy in eV for the cell shown: -116.494
Energy of formation from the pure elements in meV/atom: 457
Spin magnetization in μB/atom: 0.862
Crystal system: orthorhombic

```
CoAgRu2
1.0
1.359 -2.244 0.000
1.359 2.244 0.000
0.000 0.000 9.025
Co Ag Ru
1 1 2
direct
0.000 0.000 0.000
0.500 0.500 0.253
0.000 0.000 0.527
0.500 0.500 0.770
```


Q: The highest final energy belongs to which entry?
A: BaLi2Zn


What did the eighth record say?
Material: CoAgRu2
Method: DFT, meta-GGA SCAN
State: single point on PBEsol structure

Results
Final energy in eV for the cell shown: -116.494
Energy of formation from the pure elements in meV/atom: 457
Spin magnetization in μB/atom: 0.862
Crystal system: orthorhombic

```
CoAgRu2
1.0
1.359 -2.244 0.000
1.359 2.244 0.000
0.000 0.000 9.025
Co Ag Ru
1 1 2
direct
0.000 0.000 0.000
0.500 0.500 0.253
0.000 0.000 0.527
0.500 0.500 0.770
```